Density functional theory data (PBE) for a relaxed structure of Ru2SO.

Results
Raw formation energy ... 0.12 eV per atom
VASP energy ... -6.792 eV per atom

Cell and atoms, written as POSCAR:
```
Ru2SO
1.0
3.1581 -2.3722 0.7652
0.1811 -2.0568 3.4531
-0.4377 -3.9994 -0.0154
O S Ru
1 1 2
direct
0.0000 0.0000 0.0000 O
0.5000 0.5000 0.5000 S
0.7500 0.7500 0.7500 Ru
0.2500 0.2500 0.2500 Ru
```